(1)
First-principles (PBE) data for a relaxed structure of GdDyTe, as listed in the Alexandria database.

Values from the calculation:
Final energy: -23.3 eV for the cell shown
Space-group type: No. 156

Unit cell a=4.014 b=5.166 c=5.166 alpha=120.00 beta=90.00 gamma=90.00
Fractional positions:
Gd  0.593  0.667  0.333
Te  0.305  0.333  0.667
Dy  0.102  0.000  0.000


(2)
First-principles (PBE) data for a relaxed structure of GdDyTe, as listed in the Alexandria database.

Values from the calculation:
Final energy: -24.2 eV for the cell shown
Space-group type: No. 107

Unit cell a=3.884 b=3.884 c=6.432 alpha=107.58 beta=107.58 gamma=90.00
Fractional positions:
Gd  0.011  0.011  0.021
Te  0.670  0.670  0.341
Dy  0.319  0.319  0.638


(3)
First-principles (PBE) data for a relaxed structure of GdDy2Th, as listed in the Alexandria database.

Values from the calculation:
E_form: 185 meV per atom
Space-group type: No. 166

Unit cell a=3.451 b=3.451 c=12.628 alpha=82.15 beta=82.15 gamma=60.00
Fractional positions:
Gd  0.500  0.500  0.500
Th  0.000  0.000  0.000
Dy  0.090  0.090  0.731
Dy  0.910  0.910  0.269


(4)
First-principles (PBE) data for a relaxed structure of GdDyTh2, as listed in the Alexandria database.

Values from the calculation:
E_form: 229 meV per atom
Space-group type: No. 166

Unit cell a=3.474 b=3.474 c=12.659 alpha=82.11 beta=82.11 gamma=60.00
Fractional positions:
Gd  0.500  0.500  0.500
Th  0.087  0.087  0.740
Th  0.913  0.913  0.260
Dy  0.000  0.000  0.000


(5)
First-principles (PBE) data for a relaxed structure of GdDyTh2, as listed in the Alexandria database.

Values from the calculation:
E_form: 141 meV per atom
Space-group type: No. 123

Unit cell a=4.181 b=4.181 c=7.334 alpha=90.00 beta=90.00 gamma=90.00
Fractional positions:
Gd  0.500  0.500  0.500
Th  0.000  0.000  0.752
Th  0.000  0.000  0.248
Dy  0.500  0.500  0.000


(6)
First-principles (PBE) data for a relaxed structure of GdDy2Th, as listed in the Alexandria database.

Values from the calculation:
E_form: 120 meV per atom
Space-group type: No. 123

Unit cell a=4.158 b=4.158 c=7.442 alpha=90.00 beta=90.00 gamma=90.00
Fractional positions:
Gd  0.500  0.500  0.000
Th  0.500  0.500  0.500
Dy  0.000  0.000  0.745
Dy  0.000  0.000  0.255


(7)
First-principles (PBE) data for a relaxed structure of GdDyTh2, as listed in the Alexandria database.

Values from the calculation:
E_form: 152 meV per atom
Space-group type: No. 225

Unit cell a=5.655 b=5.655 c=5.655 alpha=60.00 beta=60.00 gamma=60.00
Fractional positions:
Gd  0.000  0.000  0.000
Th  0.250  0.250  0.250
Th  0.750  0.750  0.750
Dy  0.500  0.500  0.500


(8)
First-principles (PBE) data for a relaxed structure of GdDy2Th, as listed in the Alexandria database.

Values from the calculation:
E_form: 37 meV per atom
Space-group type: No. 123

Unit cell a=4.994 b=5.050 c=5.050 alpha=90.00 beta=90.00 gamma=90.00
Fractional positions:
Gd  0.500  0.000  0.000
Th  0.500  0.500  0.500
Dy  0.000  0.000  0.500
Dy  0.000  0.500  0.000


The following spin magnetization values (in Bohr magnetons per cell) correspond, in order, to the records above: 7.16 7.33 7.17 7.40 7.04 7.69 7.03 7.46.